This record from the Alexandria database describes Cs6RbAu after structural relaxation. The functional is PBE-GGA.

Cell and atoms, written as CIF:
```
data_Cs6RbAu
_symmetry_space_group_name_H-M 'C 1 2/m 1'
_symmetry_Int_Tables_number 12
_cell_length_a 11.921
_cell_length_b 14.242
_cell_length_c 9.271
_cell_angle_alpha 90.00
_cell_angle_beta 105.11
_cell_angle_gamma 90.00
loop_
_symmetry_equiv_pos_as_xyz
'x,y,z'
'-x,-y,-z'
'-x,y,-z'
'x,-y,z'
'x+1/2,y+1/2,z'
'-x+1/2,-y+1/2,-z'
'-x+1/2,y+1/2,-z'
'x+1/2,-y+1/2,z'
loop_
_atom_site_label
_atom_site_type_symbol
_atom_site_fract_x
_atom_site_fract_y
_atom_site_fract_z
Cs1 Cs 0.099 0.179 0.277
Cs2 Cs 0.222 0.500 0.084
Rb1 Rb 0.000 0.500 0.500
Au1 Au 0.000 0.000 0.000
```

Summary:
For the density of states at the Fermi level, the calculation gives 1.031 states/eV per atom. The calculation puts the total magnetic moment at 0.0 μB/f.u. The value obtained for the energy of formation from the pure elements is -0.7 eV per formula unit.